The following is a DFT calculation (PBE with a Hubbard U) of a geometry-optimized CuNiN2F structure.

Properties
Its total magnetization is 3.13 μB per cell. The density of states at the Fermi level is 2.7 states/eV/cell. The calculated total energy is -0.148 hartree per atom. The value obtained for the energy relative to the lowest polymorph listed for this composition is 0 meV/atom.

Structure (extended XYZ):
```
5
Lattice="-0.9192 2.5584 -2.5288 -3.5644 -0.9999 0.2840 -0.5158 2.6550 2.8735" Properties=species:S:1:pos:R:3 pbc="T T T"
Ni 0.0000 0.0000 0.0000
N -1.7822 -0.4999 0.1420
N -0.4596 1.2792 -1.2644
Cu -2.4997 2.1067 0.3143
F -0.2579 1.3275 1.4367
```